A plane-wave DFT calculation with meta-GGA SCAN was carried out for a PBEsol-optimized structure of LaTc3Pd.

Cell: 4.6073 4.6073 4.6073 Å, 90.00 90.00 90.00°
Each line ends with the local moment (μB).
Element x y z (fractional)
Pd 0.5000 0.5000 0.5000  0.22
La 0.0000 0.0000 0.0000  -0.01
Tc 0.0000 0.5000 0.0000  1.02
Tc 0.5000 0.0000 0.0000  1.02
Tc 0.0000 0.0000 0.5000  1.02

Results
Formation energy ... 2.225 eV/atom
Total moment ... 3.2 μB per formula unit
Electronic total energy ... -1.249 hartree per atom
Crystal system ... cubic

A plane-wave DFT calculation with meta-GGA SCAN was carried out for a PBEsol-optimized structure of TlFe2Pt.

Cell: 2.8124 2.8124 7.6676 Å, 90.00 90.00 90.02°
Each line ends with the local moment (μB).
Element x y z (fractional)
Fe 0.0000 0.0000 0.2731  3.15
Fe 0.0000 0.0000 0.7269  3.15
Tl 0.5000 0.5000 0.0000  -0.05
Pt 0.5000 0.5000 0.5000  0.42

Results
Formation energy ... 0.132 eV/atom
Total moment ... 6.5 μB per formula unit
Electronic total energy ... -1.638 hartree per atom
Offset from the most stable computed form ... 34 meV per atom
Crystal system ... tetragonal

A plane-wave DFT calculation with meta-GGA SCAN was carried out for a PBEsol-optimized structure of Al3Ir4.

Cell: 3.0282 3.0282 10.8525 Å, 98.02 98.02 90.00°
Element x y z (fractional)
Ir 0.1577 0.1577 0.3153
Ir 0.5671 0.5671 0.1341
Ir 0.8423 0.8423 0.6847
Ir 0.4329 0.4329 0.8659
Al 0.0000 0.0000 0.0000
Al 0.7129 0.7129 0.4258
Al 0.2871 0.2871 0.5742

Results
Formation energy ... -0.545 eV/atom
Total moment ... 0.0 μB per formula unit
Electronic total energy ... -1.635 hartree per atom
Crystal system ... tetragonal